Record 1
## MgV3Cu (PBE-GGA)

Data for a relaxed MgV3Cu crystal.

```
5
Lattice="4.475 0.000 0.000 0.000 4.475 0.000 0.000 0.000 4.475" Properties=species:S:1:pos:R:3 pbc="T T T"
Mg 0.000 0.000 0.000
V 0.000 2.238 2.238
V 2.238 0.000 2.238
V 2.238 2.238 0.000
Cu 2.238 2.238 2.238
```

Output
Calculated formation energy (eV per atom): 1.11



Record 2
## Co2ReTc (PBE-GGA)

Data for a relaxed Co2ReTc crystal.

```
12
Lattice="2.686 0.000 0.000 -1.343 2.326 0.000 0.000 0.000 25.392" Properties=species:S:1:pos:R:3 pbc="T T T"
Co 0.000 0.000 0.000
Co 0.000 0.000 6.535
Co 0.000 1.551 16.928
Co 0.000 1.551 23.463
Co 1.343 0.775 8.464
Co 1.343 0.775 14.999
Re 0.000 0.000 12.834
Re 0.000 1.551 4.371
Re 1.343 0.775 21.298
Tc 0.000 0.000 19.090
Tc 0.000 1.551 10.626
Tc 1.343 0.775 2.162
```

Output
Calculated formation energy (eV per atom): 0.16



Record 3
## Ac2AlInGa6 (PBE-GGA)

Data for a relaxed Ac2AlInGa6 crystal.

```
20
Lattice="3.234 1.867 14.006 -3.234 1.867 14.006 0.000 -3.734 14.006" Properties=species:S:1:pos:R:3 pbc="T T T"
Ac 0.000 0.000 4.775
Ac 0.000 0.000 12.957
Ac 0.000 0.000 29.060
Ac 0.000 0.000 37.243
Al 0.000 0.000 0.000
Al 0.000 0.000 21.009
In 0.000 0.000 17.986
In 0.000 0.000 24.031
Ga -1.963 -1.133 19.746
Ga 0.000 -1.835 15.858
Ga -1.590 0.918 15.858
Ga -1.590 -0.918 26.159
Ga 0.000 -2.266 22.271
Ga -1.963 1.133 22.271
Ga 1.963 -1.133 19.746
Ga 0.000 2.266 19.746
Ga 1.590 0.918 15.858
Ga 1.590 -0.918 26.159
Ga 0.000 1.835 26.159
Ga 1.963 1.133 22.271
```

Output
Calculated formation energy (eV per atom): -0.21



Record 4
## TbTl3Ga3I8 (PBE-GGA)

Data for a relaxed TbTl3Ga3I8 crystal.

```
15
Lattice="7.987 -4.611 0.000 7.987 4.611 0.000 -5.335 0.000 8.750" Properties=species:S:1:pos:R:3 pbc="T T T"
Tb 0.000 0.000 0.000
Tl -2.668 0.000 4.375
Tl 1.326 2.305 4.375
Tl 1.326 -2.305 4.375
Ga 3.994 2.305 0.000
Ga 3.994 -2.305 0.000
Ga 7.987 0.000 0.000
I 2.469 0.000 1.819
I 6.753 2.473 1.819
I 3.887 2.473 6.931
I -0.010 0.000 6.769
I 10.649 0.000 1.981
I 6.753 -2.473 1.819
I 3.887 -2.473 6.931
I 8.171 0.000 6.931
```

Output
ΔE_f (raw) (eV per atom): -0.6274



Record 5
## Li2DyTm (PBE-GGA)

Data for a relaxed Li2DyTm crystal.

```
12
Lattice="3.290 0.000 0.000 -1.645 2.849 0.000 0.000 0.000 35.249" Properties=species:S:1:pos:R:3 pbc="T T T"
Li 0.000 0.000 3.095
Li 0.000 0.000 32.154
Li 0.000 1.900 20.404
Li 0.000 1.900 26.595
Li 1.645 0.950 8.654
Li 1.645 0.950 14.845
Dy 0.000 0.000 17.625
Dy 0.000 1.900 5.875
Dy 1.645 0.950 29.374
Tm 0.000 0.000 0.000
Tm 0.000 1.900 23.500
Tm 1.645 0.950 11.750
```

Output
Calculated formation energy (eV per atom): 0.30



Record 6
## TbSbPd5 (PBE-GGA)

Data for a relaxed TbSbPd5 crystal.

```
14
Lattice="5.389 0.000 0.000 0.000 7.141 0.000 0.000 0.000 7.397" Properties=species:S:1:pos:R:3 pbc="T T T"
Tb 0.000 0.000 0.000
Tb 2.694 3.570 3.698
Sb 0.000 3.570 1.267
Sb 2.694 0.000 4.965
Pd 0.000 0.000 4.776
Pd 0.000 2.246 3.550
Pd 0.000 4.895 3.550
Pd 1.298 3.570 6.034
Pd 1.396 0.000 2.335
Pd 2.694 1.324 7.248
Pd 2.694 3.570 1.078
Pd 2.694 5.816 7.248
Pd 3.993 0.000 2.335
Pd 4.090 3.570 6.034
```

Output
ΔE_f (raw) (eV per atom): -0.2851



Record 7
## Ga4CoIr (PBE-GGA)

Data for a relaxed Ga4CoIr crystal.

```
12
Lattice="-3.756 3.756 4.155 3.756 -3.756 4.155 3.756 3.756 -4.155" Properties=species:S:1:pos:R:3 pbc="T T T"
Ga 2.332 1.878 -0.886
Ga 5.181 1.878 -0.886
Ga 0.000 0.454 1.192
Ga 3.756 0.454 2.964
Ga 0.000 3.303 1.192
Ga 3.756 3.303 2.964
Ga -1.425 1.878 5.041
Ga 1.425 1.878 5.041
Co 3.756 -1.878 3.116
Co 0.000 5.635 1.039
Ir 3.756 1.878 1.039
Ir 0.000 1.878 3.116
```

Output
Calculated formation energy (eV per atom): 0.12



Record 8
## Re3Se (PBE-GGA)

Data for a relaxed Re3Se crystal.

```
8
Lattice="4.431 0.000 0.000 0.000 4.431 0.000 0.000 0.000 6.247" Properties=species:S:1:pos:R:3 pbc="T T T"
Re 0.000 0.000 0.000
Re 0.000 2.215 1.562
Re 0.000 2.215 4.685
Re 2.215 0.000 1.562
Re 2.215 0.000 4.685
Re 2.215 2.215 3.123
Se 0.000 0.000 3.123
Se 2.215 2.215 0.000
```

Output
ΔE_f (raw) (eV per atom): 0.6848



Number 1: total moment 0.411 μB per atom. Number 2: total moment 0.832 μB per atom. Number 3: total moment 0.000 μB per atom. Number 4: total moment 0.000 μB per atom. Number 5: total moment 0.000 μB per atom. Number 6: total moment 0.000 μB per atom. Number 7: total moment 0.000 μB per atom. Number 8: total moment 0.000 μB per atom.